Entry 1:
The following is a PBE-GGA calculation of an optimized crystal structure of HgTeCl2, from Alexandria.

Its crystal system is tetragonal. The density of states at the Fermi level comes out at 1.019 states/eV/atom. The calculation puts the uncorrected formation energy at 0.180 eV per atom.

The space group is I4/mmm (No. 139) and the conventional cell measures 4.580, 4.580 and 9.242 Å, with angles of 90.00, 90.00 and 90.00 degrees. The inequivalent atoms are Hg at (0.000, 0.000, 0.000), Te at (0.000, 0.000, 0.500) and Cl at (0.000, 0.500, 0.250).

---

Entry 2:
The following is a PBE-GGA calculation of an optimized crystal structure of Sm12RhPb6, from Alexandria.

Its crystal system is trigonal. The density of states at the Fermi level comes out at 1.134 states/eV/atom. For the formation energy from the elements, the calculation gives -0.31 eV per atom.

The space group is R-3 (No. 148, hexagonal axes) and the conventional cell measures 13.4258, 13.4258 and 12.5723 Å, with angles of 90.00, 90.00 and 120.00 degrees. The inequivalent atoms are Sm at (0.0307, 0.8378, 0.3911), Sm at (0.0686, 0.8749, 0.8770), Rh at (0.0000, 0.0000, 0.0000) and Pb at (0.0438, 0.6200, 0.3033).

---

Entry 3:
The following is a PBE-GGA calculation of an optimized crystal structure of CaSmOs2O8, from Alexandria.

Its crystal system is tetragonal. The density of states at the Fermi level comes out at 0.437 states/eV/atom. The calculation puts the uncorrected formation energy at -1.747 eV per atom.

The space group is I-4 (No. 82) and the conventional cell measures 5.307, 5.307 and 11.435 Å, with angles of 90.00, 90.00 and 90.00 degrees. The inequivalent atoms are Ca at (0.000, 0.000, 0.000), Sm at (0.000, 0.500, 0.250), Os at (0.000, 0.000, 0.500), Os at (0.000, 0.500, 0.750), O at (0.162, 0.250, 0.417) and O at (0.168, 0.751, 0.831).

---

Entry 4:
The following is a PBE-GGA calculation of an optimized crystal structure of SnPb, from Alexandria.

Its crystal system is orthorhombic. The density of states at the Fermi level comes out at 0.228 states/eV/atom. For the formation energy from the elements, the calculation gives 0.04 eV per atom.

The space group is Pmmn (No. 59, origin choice 2) and the conventional cell measures 3.722, 4.412 and 7.187 Å, with angles of 90.00, 90.00 and 90.00 degrees. The inequivalent atoms are Sn at (0.250, 0.250, 0.113) and Pb at (0.250, 0.250, 0.637).

---

Entry 5:
The following is a PBE-GGA calculation of an optimized crystal structure of Ti2Sb, from Alexandria.

Its crystal system is tetragonal. The density of states at the Fermi level comes out at 1.042 states/eV/atom. The calculation puts the uncorrected formation energy at -0.469 eV per atom.

The space group is I4/mmm (No. 139) and the conventional cell measures 3.924, 3.924 and 14.804 Å, with angles of 90.00, 90.00 and 90.00 degrees. The inequivalent atoms are Ti at (0.000, 0.000, 0.171), Ti at (0.000, 0.500, 0.000) and Sb at (0.000, 0.000, 0.360).

---

Entry 6:
The following is a PBE-GGA calculation of an optimized crystal structure of ReRu2Au, from Alexandria.

Its crystal system is trigonal. The density of states at the Fermi level comes out at 0.821 states/eV/atom. For the formation energy from the elements, the calculation gives 0.26 eV per atom.

The space group is R3m (No. 160, hexagonal axes) and the conventional cell measures 2.7674, 2.7674 and 27.5129 Å, with angles of 90.00, 90.00 and 120.00 degrees. The inequivalent atoms are Re at (0.0000, 0.0000, 0.0000), Ru at (0.0000, 0.0000, 0.2563), Ru at (0.0000, 0.0000, 0.5118) and Au at (0.0000, 0.0000, 0.7568).

---

Entry 7:
The following is a PBE-GGA calculation of an optimized crystal structure of BaCaSi, from Alexandria.

Its crystal system is tetragonal. The density of states at the Fermi level comes out at 0.979 states/eV/atom. The calculation puts the uncorrected formation energy at -0.161 eV per atom.

The space group is I4mm (No. 107) and the conventional cell measures 3.854, 3.854 and 14.355 Å, with angles of 90.00, 90.00 and 90.00 degrees. The inequivalent atoms are Ba at (0.000, 0.000, 0.000), Ca at (0.000, 0.000, 0.753) and Si at (0.000, 0.000, 0.357).

---

Entry 8:
The following is a PBE-GGA calculation of an optimized crystal structure of Ca2LaRh, from Alexandria.

Its crystal system is trigonal. The density of states at the Fermi level comes out at 0.666 states/eV/atom. For the formation energy from the elements, the calculation gives -0.32 eV per atom.

The space group is R3m (No. 160, hexagonal axes) and the conventional cell measures 4.0388, 4.0388 and 29.7505 Å, with angles of 90.00, 90.00 and 120.00 degrees. The inequivalent atoms are Ca at (0.0000, 0.0000, 0.0000), Ca at (0.0000, 0.0000, 0.2229), La at (0.0000, 0.0000, 0.7807) and Rh at (0.0000, 0.0000, 0.4967).